[1]
Compound: Ti4B2O
Source: Alexandria via LeMat-Bulk
Functional: PBE
Structure: optimized geometry

formation energy (no corrections) = -0.7751 eV/atom

Structure (POSCAR):
```
Ti4B2O
1.0
-2.0992 2.0992 5.0365
2.0992 -2.0992 5.0365
2.0992 2.0992 -5.0365
Ti B O
4 2 1
direct
0.0000 0.5000 0.5000
0.2118 0.2118 0.0000
0.5000 0.0000 0.5000
0.7882 0.7882 0.0000
0.4191 0.4191 0.0000
0.5809 0.5809 0.0000
0.0000 0.0000 0.0000
```

***

[2]
Compound: LaYGe
Source: Alexandria via LeMat-Bulk
Functional: PBE
Structure: optimized geometry

energy above the most stable polymorph in this dataset = 29 kJ/mol of formula units
formation energy = -560 meV/atom

Structure (POSCAR):
```
LaYGe
1.0
6.0545 0.0000 0.0000
-2.7526 5.3933 0.0000
-1.7035 -2.6590 5.2144
La Y Ge
2 2 2
direct
0.0000 0.0000 0.0000
0.1715 0.5246 0.6940
0.4891 0.1618 0.6496
0.6463 0.6846 0.3330
0.0413 0.5639 0.1731
0.6096 0.1319 0.1734
```

***

[3]
Compound: MoOs2
Source: Alexandria via LeMat-Bulk
Functional: PBE
Structure: optimized geometry

energy above the most stable polymorph in this dataset = 297 kJ/mol of formula units
formation energy = 1007 meV/atom

Structure (POSCAR):
```
MoOs2
1.0
3.7197 0.0000 0.0000
0.0000 3.7197 0.0000
0.0000 0.0000 3.8080
Mo Os
1 2
direct
0.0000 0.0000 0.0000
0.0000 0.5000 0.5000
0.5000 0.0000 0.5000
```

***

[4]
Compound: TbBeCoSi2
Source: Alexandria via LeMat-Bulk
Functional: PBE
Structure: optimized geometry

formation energy (no corrections) = -0.6368 eV/atom

Structure (POSCAR):
```
TbBeCoSi2
1.0
-1.9283 1.9283 4.9243
1.9283 -1.9283 4.9243
1.9283 1.9283 -4.9243
Tb Be Co Si
1 1 1 2
direct
0.0000 0.0000 0.0000
0.7500 0.2500 0.5000
0.2500 0.7500 0.5000
0.3754 0.3754 0.0000
0.6246 0.6246 0.0000
```